(1)
This record from the Open Quantum Materials Database describes an optimized crystal structure of La2GdMg3Pt2Au. The functional is PBE-GGA.

Cell lengths 4.1456, 7.6372, 7.6372 Å; angles 120.12, 90.00, 90.00 degrees
With the nearest neighbours (Å) after each atom.
Sites, in units of the cell vectors:
Mg 0.5000 0.7547 0.9946  2 Au 2.76, 2 Pt 2.90-3.03
Mg 0.5000 0.9946 0.7547  2 Au 2.76, 2 Pt 2.90-3.03
Au 0.0000 0.9939 0.9939  6 Mg 2.76-2.84
La 0.0000 0.4199 0.9996  4 Pt 3.10-3.11, 1 Au 3.23, 2 Mg 3.31
Gd 0.0000 0.5845 0.5845  4 Pt 3.06, 1 Au 3.12, 6 Mg 3.29-3.42
La 0.0000 0.9996 0.4199  4 Pt 3.10-3.11, 1 Au 3.23, 2 Mg 3.31
Pt 0.5000 0.3387 0.6648  3 Mg 2.89-3.03, 2 Gd 3.06, 4 La 3.10-3.11
Mg 0.5000 0.2494 0.2494  2 Au 2.84, 2 Pt 2.89
Pt 0.5000 0.6648 0.3387  3 Mg 2.89-3.03, 2 Gd 3.06, 4 La 3.10-3.11

Energy, eV per atom: -4.683
Total moment, μB per cell: 0.01

***

(2)
This record from the Open Quantum Materials Database describes an optimized crystal structure of LaGd2Mg3Pt2Au. The functional is PBE-GGA.

Cell lengths 4.0898, 7.5572, 7.5572 Å; angles 119.74, 90.00, 90.00 degrees
With the nearest neighbours (Å) after each atom.
Sites, in units of the cell vectors:
Au 0.0000 0.0057 0.0057  6 Mg 2.73-2.80
Mg 0.5000 0.2435 0.2435  2 Au 2.73, 2 Pt 2.94
La 0.0000 0.5793 0.5793  4 Pt 3.07, 1 Au 3.23, 2 Mg 3.27
Mg 0.5000 0.7526 0.0048  2 Au 2.80, 2 Pt 2.83-2.93
Pt 0.5000 0.3301 0.6681  3 Mg 2.83-2.94, 4 Gd 3.05, 2 La 3.07
Gd 0.0000 0.4154 0.0007  4 Pt 3.05, 1 Au 3.12, 6 Mg 3.26-3.41
Gd 0.0000 0.0007 0.4154  4 Pt 3.05, 1 Au 3.12, 6 Mg 3.26-3.41
Mg 0.5000 0.0048 0.7526  2 Au 2.80, 2 Pt 2.83-2.93
Pt 0.5000 0.6681 0.3301  3 Mg 2.83-2.94, 4 Gd 3.05, 2 La 3.07

Energy, eV per atom: -4.658
Total moment, μB per cell: 0.03

***

(3)
This record from the Open Quantum Materials Database describes an optimized crystal structure of LaGd2AuO6. The functional is PBE-GGA.

Cell lengths 3.7484, 5.6504, 6.9395 Å; angles 91.55, 103.85, 91.05 degrees
With the nearest neighbours (Å) after each atom.
Sites, in units of the cell vectors:
O 0.1411 0.7710 0.8050  1 Au 2.01
O 0.8589 0.2290 0.1950  1 Au 2.01
La 0.0000 0.0000 0.5000  6 O 2.39-2.46
Gd 0.6173 0.5239 0.7682  6 O 2.23-2.40
O 0.5117 0.2626 0.5135  2 Gd 2.23-2.28, 2 La 2.39
Au 0.0000 0.0000 0.0000  4 O 2.01-2.04
Gd 0.3827 0.4761 0.2318  6 O 2.23-2.40
O 0.8451 0.7052 0.1272  1 Au 2.04
O 0.1549 0.2948 0.8728  1 Au 2.04
O 0.4883 0.7374 0.4865  2 Gd 2.23-2.28, 2 La 2.39

Energy, eV per atom: -7.421
Total moment, μB per cell: 0.01

***

(4)
This record from the Open Quantum Materials Database describes an optimized crystal structure of La2GdAuO6. The functional is PBE-GGA.

Cell lengths 3.7379, 5.6876, 7.2737 Å; angles 89.96, 77.64, 89.36 degrees
With the nearest neighbours (Å) after each atom.
Sites, in units of the cell vectors:
Gd 0.0000 0.0000 0.5000  6 O 2.32-2.36
La 0.6059 0.4726 0.2351  6 O 2.34-2.47
La 0.3941 0.5274 0.7649  6 O 2.34-2.47
O 0.8398 0.3006 0.8875  1 Au 2.03
O 0.1602 0.6994 0.1125  1 Au 2.03
O 0.1198 0.1917 0.2120  1 Au 2.02
O 0.5168 0.7516 0.4766  2 La 2.34-2.41, 2 Gd 2.34-2.36
O 0.4832 0.2484 0.5234  2 La 2.34-2.41, 2 Gd 2.34-2.36
O 0.8802 0.8083 0.7880  1 Au 2.02
Au 0.0000 0.0000 0.0000  4 O 2.02-2.03

Energy, eV per atom: -7.427
Total moment, μB per cell: 0.00

***

(5)
This record from the Open Quantum Materials Database describes an optimized crystal structure of LaGdSi2Au2. The functional is PBE-GGA.

Cell lengths 4.3788, 4.3788, 8.0233 Å; angles 90.00, 90.00, 120.00 degrees
With the nearest neighbours (Å) after each atom.
Sites, in units of the cell vectors:
La 0.0000 0.0000 0.0026  6 Si 3.16-3.40, 6 Au 3.28-3.37
Si 0.3333 0.6667 0.2383  3 Au 2.55
Gd 0.0000 0.0000 0.4983  6 Au 3.07-3.20, 6 Si 3.09-3.28
Au 0.3333 0.6667 0.7426  3 Si 2.53
Au 0.6667 0.3333 0.2808  3 Si 2.55
Si 0.6667 0.3333 0.7194  3 Au 2.53

Energy, eV per atom: -5.338
Total moment, μB per cell: 0.01

***

(6)
This record from the Open Quantum Materials Database describes an optimized crystal structure of LiGdMg2Au4. The functional is PBE-GGA.

Cell lengths 4.7920, 4.7920, 6.7203 Å; angles 90.00, 90.00, 90.00 degrees
With the nearest neighbours (Å) after each atom.
Sites, in units of the cell vectors:
Gd 0.0000 0.0000 0.5000  8 Au 3.01, 2 Mg 3.36
Au 0.0000 0.5000 0.7721  2 Li 2.84, 4 Mg 2.84-3.01, 2 Gd 3.01, 1 Au 3.06
Au 0.5000 0.0000 0.7721  2 Li 2.84, 4 Mg 2.84-3.01, 2 Gd 3.01, 1 Au 3.06
Mg 0.5000 0.5000 0.5000  8 Au 3.01, 2 Li 3.36
Au 0.5000 0.0000 0.2279  2 Li 2.84, 4 Mg 2.84-3.01, 2 Gd 3.01, 1 Au 3.06
Au 0.0000 0.5000 0.2279  2 Li 2.84, 4 Mg 2.84-3.01, 2 Gd 3.01, 1 Au 3.06
Mg 0.0000 0.0000 0.0000  8 Au 2.84
Li 0.5000 0.5000 0.0000  8 Au 2.84

Energy, eV per atom: -3.494
Total moment, μB per cell: 0.01

***

(7)
This record from the Open Quantum Materials Database describes an optimized crystal structure of NdGd2Mg3Pt2Au. The functional is PBE-GGA.

Cell lengths 4.0783, 7.5466, 7.5466 Å; angles 120.22, 90.00, 90.00 degrees
With the nearest neighbours (Å) after each atom.
Sites, in units of the cell vectors:
Au 0.0000 0.0037 0.0037  6 Mg 2.74-2.79
Mg 0.5000 0.2473 0.2473  2 Au 2.74, 2 Pt 2.92
Gd 0.0000 0.0004 0.4163  4 Pt 3.03, 1 Au 3.13, 2 Mg 3.24
Pt 0.5000 0.3281 0.6681  3 Mg 2.83-2.92, 4 Gd 3.03, 2 Nd 3.08
Nd 0.0000 0.5823 0.5823  4 Pt 3.08, 1 Au 3.17, 6 Mg 3.24-3.43
Mg 0.5000 0.7516 0.0022  2 Au 2.79, 2 Pt 2.83-2.91
Gd 0.0000 0.4163 0.0004  4 Pt 3.03, 1 Au 3.13, 2 Mg 3.24
Pt 0.5000 0.6681 0.3281  3 Mg 2.83-2.92, 4 Gd 3.03, 2 Nd 3.08
Mg 0.5000 0.0022 0.7516  2 Au 2.79, 2 Pt 2.83-2.91

Energy, eV per atom: -4.635
Total moment, μB per cell: 0.01

***

(8)
This record from the Open Quantum Materials Database describes an optimized crystal structure of Pr2GdMg3Ni2Au. The functional is PBE-GGA.

Cell lengths 4.0498, 7.5863, 7.5863 Å; angles 120.29, 90.00, 90.00 degrees
With the nearest neighbours (Å) after each atom.
Sites, in units of the cell vectors:
Mg 0.5000 0.2498 0.2498  2 Au 2.79, 2 Ni 2.87
Ni 0.5000 0.3393 0.6647  3 Mg 2.86-2.99, 2 Gd 3.01, 4 Pr 3.06
Mg 0.5000 0.7517 0.9963  2 Au 2.74, 2 Ni 2.86-2.99
Gd 0.0000 0.5812 0.5812  4 Ni 3.01, 1 Au 3.13, 2 Mg 3.22
Pr 0.0000 0.0001 0.4215  4 Ni 3.06, 1 Au 3.21, 2 Mg 3.23
Mg 0.5000 0.9963 0.7517  2 Au 2.74, 2 Ni 2.86-2.99
Au 0.0000 0.9953 0.9953  6 Mg 2.74-2.79
Pr 0.0000 0.4215 0.0001  4 Ni 3.06, 1 Au 3.21, 2 Mg 3.23
Ni 0.5000 0.6647 0.3393  3 Mg 2.86-2.99, 2 Gd 3.01, 4 Pr 3.06

Energy, eV per atom: -4.092
Total moment, μB per cell: 0.00

***

(9)
This record from the Open Quantum Materials Database describes an optimized crystal structure of Gd3Mg3Pd2Au. The functional is PBE-GGA.

Cell lengths 7.5309, 7.5309, 4.0960 Å; angles 90.00, 90.00, 120.00 degrees
With the nearest neighbours (Å) after each atom.
Sites, in units of the cell vectors:
Mg 0.7525 0.0000 0.5000  2 Au 2.77, 2 Pd 2.89
Mg 0.2475 0.2475 0.5000  2 Au 2.77, 2 Pd 2.89
Gd 0.4155 0.0000 0.0000  4 Pd 3.05, 1 Au 3.13, 6 Mg 3.26-3.41
Pd 0.6667 0.3333 0.5000  3 Mg 2.89, 6 Gd 3.05
Gd 0.0000 0.4155 0.0000  4 Pd 3.05, 1 Au 3.13, 6 Mg 3.26-3.41
Mg 0.0000 0.7525 0.5000  2 Au 2.77, 2 Pd 2.89
Au 0.0000 0.0000 0.0000  6 Mg 2.77
Pd 0.3333 0.6667 0.5000  3 Mg 2.89, 6 Gd 3.05
Gd 0.5845 0.5845 0.0000  4 Pd 3.05, 1 Au 3.13, 6 Mg 3.26-3.41

Energy, eV per atom: -4.262
Total moment, μB per cell: 0.01

***

(10)
This record from the Open Quantum Materials Database describes an optimized crystal structure of PrGd2Mg3Pd2Au. The functional is PBE-GGA.

Cell lengths 4.1215, 7.5815, 7.5815 Å; angles 120.13, 90.00, 90.00 degrees
With the nearest neighbours (Å) after each atom.
Sites, in units of the cell vectors:
Mg 0.5000 0.9975 0.2461  2 Au 2.80, 2 Pd 2.84-2.94
Gd 0.0000 0.9998 0.5856  4 Pd 3.05-3.06, 1 Au 3.12, 4 Mg 3.29-3.41
Mg 0.5000 0.2461 0.9975  2 Au 2.80, 2 Pd 2.84-2.94
Pr 0.0000 0.4166 0.4166  4 Pd 3.11, 1 Au 3.19, 6 Mg 3.29-3.45
Pd 0.5000 0.6727 0.3314  3 Mg 2.84-2.95, 4 Gd 3.05-3.06, 2 Pr 3.11
Gd 0.0000 0.5856 0.9998  4 Pd 3.05-3.06, 1 Au 3.12, 4 Mg 3.29-3.41
Pd 0.5000 0.3314 0.6727  3 Mg 2.84-2.95, 4 Gd 3.05-3.06, 2 Pr 3.11
Mg 0.5000 0.7550 0.7550  2 Au 2.75, 2 Pd 2.95
Au 0.0000 0.9952 0.9952  6 Mg 2.75-2.80

Energy, eV per atom: -4.262
Total moment, μB per cell: 0.01

***

(11)
This record from the Open Quantum Materials Database describes an optimized crystal structure of Pr2GdMg3Pd2Au. The functional is PBE-GGA.

Cell lengths 4.1476, 7.6305, 7.6305 Å; angles 120.00, 90.00, 90.00 degrees
With the nearest neighbours (Å) after each atom.
Sites, in units of the cell vectors:
Pd 0.5000 0.6646 0.3402  3 Mg 2.90-3.02, 2 Gd 3.05, 4 Pr 3.11-3.12
Au 0.0000 0.9946 0.9946  6 Mg 2.77-2.83
Mg 0.5000 0.2469 0.2469  2 Au 2.83, 2 Pd 2.90
Mg 0.5000 0.7545 0.9970  2 Au 2.77, 2 Pd 2.90-3.02
Pr 0.0000 0.9999 0.4163  4 Pd 3.11-3.12, 1 Au 3.20, 6 Mg 3.32-3.47
Pd 0.5000 0.3402 0.6646  3 Mg 2.90-3.02, 2 Gd 3.05, 4 Pr 3.11-3.12
Mg 0.5000 0.9970 0.7545  2 Au 2.77, 2 Pd 2.90-3.02
Pr 0.0000 0.4163 0.9999  4 Pd 3.11-3.12, 1 Au 3.20, 6 Mg 3.32-3.47
Gd 0.0000 0.5860 0.5860  4 Pd 3.05, 1 Au 3.12, 2 Mg 3.32

Energy, eV per atom: -4.264
Total moment, μB per cell: 0.01